K2CoP4O12 | PBE+U | relaxed

Total magnetic moment   3.00 μB per formula unit
Raw total energy   -6.7772 eV per atom

abc: 8.534 8.534 7.769
angles: 98.23 98.23 97.58
Atoms (fractional coordinates):
K1 0.125 0.875 0.500
K2 0.567 0.838 0.330
K3 0.838 0.567 0.830
K4 0.875 0.125 0.000
Co1 0.218 0.520 0.169
Co2 0.520 0.218 0.669
P1 0.185 0.337 0.754
P2 0.195 0.870 0.995
P3 0.337 0.185 0.254
P4 0.403 0.558 0.598
P5 0.497 0.877 0.836
P6 0.558 0.403 0.098
P7 0.870 0.195 0.495
P8 0.877 0.497 0.336
O1 0.026 0.855 0.903
O2 0.055 0.246 0.587
O3 0.101 0.384 0.907
O4 0.229 0.309 0.270
O5 0.240 0.763 0.127
O6 0.246 0.055 0.087
O7 0.251 0.500 0.688
O8 0.305 0.860 0.841
O9 0.309 0.229 0.770
O10 0.341 0.635 0.444
O11 0.384 0.101 0.407
O12 0.432 0.508 0.077
O13 0.500 0.251 0.188
O14 0.508 0.432 0.577
O15 0.510 0.695 0.751
O16 0.530 0.981 0.700
O17 0.597 0.914 0.014
O18 0.635 0.341 0.944
O19 0.695 0.510 0.251
O20 0.763 0.240 0.627
O21 0.855 0.026 0.403
O22 0.860 0.305 0.341
O23 0.914 0.597 0.514
O24 0.981 0.530 0.200